The following is a GGA+U calculation of FeP5O15 after structural relaxation, from Alexandria.

Results
SG: No. 11
Calculated total energy (eV per cell): -290.16
Spin magnetization (μB per formula unit): 7.13

a b c (Å): 13.8035 5.2206 9.1831
angles (deg): 73.46 90.00 90.00
With the nearest neighbours (Å) after each atom.
Sites, in units of the cell vectors:
Fe 0.0000 0.5000 0.5000  6 O 2.00-2.04
Fe 0.5000 0.5000 0.5000  6 O 2.00-2.04
P 0.8601 0.9886 0.5337  4 O 1.50-1.63
P 0.6399 0.9886 0.5337  4 O 1.50-1.63
P 0.9255 0.5969 0.8183  4 O 1.50-1.61
P 0.5745 0.5969 0.8183  4 O 1.50-1.61
P 0.2500 0.5609 0.9985  4 O 1.51-1.60
P 0.7500 0.4391 0.0015  4 O 1.51-1.60
P 0.4255 0.4031 0.1817  4 O 1.50-1.61
P 0.0745 0.4031 0.1817  4 O 1.50-1.61
P 0.3601 0.0114 0.4663  4 O 1.50-1.63
P 0.1399 0.0114 0.4663  4 O 1.50-1.63
O 0.9782 0.7040 0.9351  1 P 1.53
O 0.5218 0.7040 0.9351  1 P 1.53
O 0.7500 0.9287 0.5021  2 P 1.59
O 0.8681 0.8546 0.7161  2 P 1.61-1.63
O 0.6319 0.8546 0.7161  2 P 1.61-1.63
O 0.2500 0.7719 0.8465  1 P 1.51
O 0.9212 0.8361 0.4514  1 P 1.50
O 0.5788 0.8361 0.4514  1 P 1.50
O 0.3764 0.7169 0.4977  1 P 1.50
O 0.1236 0.7169 0.4977  1 P 1.50
O 0.9810 0.4592 0.7226  1 P 1.50
O 0.5190 0.4592 0.7226  1 P 1.50
O 0.8379 0.4003 0.8957  2 P 1.60-1.61
O 0.6621 0.4003 0.8957  2 P 1.60-1.61
O 0.7500 0.7067 0.0348  1 P 1.51
O 0.2500 0.2933 0.9652  1 P 1.51
O 0.3379 0.5997 0.1043  2 P 1.60-1.61
O 0.1621 0.5997 0.1043  2 P 1.60-1.61
O 0.4810 0.5408 0.2774  1 P 1.50
O 0.0190 0.5408 0.2774  1 P 1.50
O 0.8764 0.2831 0.5023  1 P 1.50
O 0.6236 0.2831 0.5023  1 P 1.50
O 0.4212 0.1639 0.5486  1 P 1.50
O 0.0788 0.1639 0.5486  1 P 1.50
O 0.7500 0.2281 0.1535  1 P 1.51
O 0.3681 0.1454 0.2839  2 P 1.61-1.63
O 0.1319 0.1454 0.2839  2 P 1.61-1.63
O 0.2500 0.0713 0.4979  2 P 1.59
O 0.4782 0.2960 0.0649  1 P 1.53
O 0.0218 0.2960 0.0649  1 P 1.53